A plane-wave DFT calculation with GGA-PBE was carried out for a geometry-optimized GdAl6Cr6 structure.

Unit cell a=6.7081 b=6.7081 c=6.7081 alpha=135.70 beta=98.91 gamma=97.43
Each line ends with the local moment (μB).
Atoms (fractional coordinates):
Gd 0.0000 0.0000 0.0000  7.03
Al 0.3462 0.0000 0.3462  0.00
Al 0.6538 0.0000 0.6538  0.00
Al 0.6649 0.6649 0.0000  0.00
Al 0.3351 0.3351 0.0000  0.00
Al 0.8039 0.5000 0.3039  0.01
Al 0.1961 0.5000 0.6961  0.01
Cr 0.5000 0.5000 0.5000  -0.76
Cr 0.5000 0.0000 0.0000  -0.76
Cr 0.0000 0.0000 0.5000  -0.76
Cr 0.0000 0.5000 0.0000  -0.76
Cr 0.2407 0.7407 0.5000  1.30
Cr 0.7593 0.2593 0.5000  1.30

Summary:
Energy of formation = -119 meV per atom
Crystal system = orthorhombic
DOS(E_F) = 9.011 states/eV/cell
VASP energy = -95.82 eV per cell

***

A plane-wave DFT calculation with GGA-PBE was carried out for a geometry-optimized Tb4Al12Tc structure.

Unit cell a=7.5251 b=7.5251 c=7.5251 alpha=109.47 beta=109.47 gamma=109.47
Atoms (fractional coordinates):
Tb 0.0000 0.0000 0.5000
Tb 0.5000 0.0000 0.0000
Tb 0.5000 0.5000 0.5000
Tb 0.0000 0.5000 0.0000
Al 0.0000 0.2877 0.2877
Al 0.0000 0.7123 0.7123
Al 0.7123 0.7123 0.0000
Al 0.2877 0.2877 0.0000
Al 0.2877 0.0000 0.2877
Al 0.7123 0.0000 0.7123
Al 0.5000 0.2500 0.7500
Al 0.5000 0.7500 0.2500
Al 0.7500 0.2500 0.5000
Al 0.2500 0.7500 0.5000
Al 0.7500 0.5000 0.2500
Al 0.2500 0.5000 0.7500
Tc 0.0000 0.0000 0.0000

Summary:
Energy of formation = -449 meV per atom
Crystal system = cubic
DOS(E_F) = 10.905 states/eV/cell
VASP energy = -81.43 eV per cell

***

A plane-wave DFT calculation with GGA-PBE was carried out for a geometry-optimized SiNi2Br structure.

Unit cell a=3.2989 b=3.3748 c=6.0442 alpha=90.02 beta=90.00 gamma=90.00
Atoms (fractional coordinates):
Br 0.5000 0.0014 0.7728
Ni 0.0000 0.9995 0.0546
Ni 0.5000 0.9995 0.3693
Si 0.0000 0.4996 0.3032

Summary:
ΔE to the lowest computed polymorph = 7.2 kJ per mole of atoms
Crystal system = monoclinic
DOS(E_F) = 2.226 states/eV/cell
Formation energy (no corrections) = -0.45 eV per formula unit
VASP energy = -19.11 eV per cell

***

A plane-wave DFT calculation with GGA-PBE was carried out for a geometry-optimized Tl2SeCl structure.

Unit cell a=4.0012 b=3.4131 c=9.0201 alpha=67.85 beta=90.00 gamma=90.00
Atoms (fractional coordinates):
Cl 0.5000 0.2500 0.2500
Se 0.5000 0.7500 0.7500
Tl 0.0000 0.9911 0.0090
Tl 0.0000 0.5089 0.4910

Summary:
ΔE to the lowest computed polymorph = 12.1 kJ per mole of atoms
Crystal system = monoclinic
DOS(E_F) = 3.184 states/eV/cell
Formation energy (no corrections) = -1.82 eV per formula unit
VASP energy = -11.89 eV per cell